1.
This record from Alexandria via LeMat-Bulk describes SnTeHN2 after structural relaxation. The functional is PBE-GGA.

Cell: 4.0611 4.0611 6.2781 Å, 90.00 90.00 90.00°
Closest atoms and distances in Å follow each position.
Fractional positions:
1 Sn 0.0000 0.0000 0.0000  4 N 2.03
2 Te 0.0000 0.0000 0.5000  4 H 2.87, 2 Sn 3.14
3 H 0.5000 0.5000 0.5000  4 Te 2.87
4 N 0.0000 0.5000 0.0000  2 Sn 2.03
5 N 0.5000 0.0000 0.0000  2 Sn 2.03

Results
The energy above the lowest structure with this stoichiometry comes out at 0.000 eV per atom. For the magnetization, the calculation gives 2.82 μB per formula unit.

***

2.
This record from Alexandria via LeMat-Bulk describes Ti6Sn2HN after structural relaxation. The functional is PBE-GGA.

Cell: 5.9130 5.9130 5.9130 Å, 119.97 119.97 90.05°
Closest atoms and distances in Å follow each position.
Fractional positions:
1 Ti 0.2469 0.2469 0.0000  1 H 2.06, 1 N 2.12
2 Ti 0.2470 0.2470 0.4941  1 H 2.07, 1 N 2.12
3 Ti 0.2470 0.7530 0.0000  1 H 2.07, 1 N 2.12
4 Ti 0.7530 0.2470 0.0000  1 H 2.07, 1 N 2.12
5 Ti 0.7531 0.7531 0.0000  1 H 2.06, 1 N 2.12
6 Ti 0.7530 0.7530 0.5059  1 H 2.07, 1 N 2.12
7 Sn 0.2500 0.7500 0.5000  12 Ti 2.96
8 Sn 0.7500 0.2500 0.5000  12 Ti 2.96
9 H 0.0000 0.0000 0.0000  6 Ti 2.06-2.07
10 N 0.5000 0.5000 0.0000  6 Ti 2.12

Results
For the magnetization, the calculation gives 0.00 μB per formula unit.

***

3.
This record from Alexandria via LeMat-Bulk describes SnHW2N after structural relaxation. The functional is PBE-GGA.

Cell: 3.9888 3.9888 4.1043 Å, 90.00 90.00 90.00°
Closest atoms and distances in Å follow each position.
Fractional positions:
1 Sn 0.0000 0.0000 0.0000  4 N 2.82, 8 W 2.86
2 H 0.5000 0.5000 0.5000  4 W 1.99, 2 N 2.05
3 W 0.0000 0.5000 0.5000  2 H 1.99
4 W 0.5000 0.0000 0.5000  2 H 1.99
5 N 0.5000 0.5000 0.0000  2 H 2.05

Results
For the magnetization, the calculation gives 0.00 μB per formula unit.

***

4.
This record from Alexandria via LeMat-Bulk describes YSn2HN after structural relaxation. The functional is PBE-GGA.

Cell: 4.0522 4.0522 5.6682 Å, 90.00 90.00 90.00°
Closest atoms and distances in Å follow each position.
Fractional positions:
1 Y 0.0000 0.0000 0.0000  4 N 2.87
2 Sn 0.0000 0.5000 0.5000  2 H 2.03
3 Sn 0.5000 0.0000 0.5000  2 H 2.03
4 H 0.5000 0.5000 0.5000  4 Sn 2.03
5 N 0.5000 0.5000 0.0000  2 H 2.83, 4 Y 2.87

Results
For the magnetization, the calculation gives 0.00 μB per formula unit.

***

5.
This record from Alexandria via LeMat-Bulk describes ZrSnH2N after structural relaxation. The functional is PBE-GGA.

Cell: 3.6259 3.6259 5.9852 Å, 90.00 90.00 90.00°
Closest atoms and distances in Å follow each position.
Fractional positions:
1 Zr 0.0000 0.0000 0.0000  4 H 1.81
2 Sn 0.0000 0.0000 0.5000  4 N 2.56
3 H 0.0000 0.5000 0.0000  2 Zr 1.81
4 H 0.5000 0.0000 0.0000  2 Zr 1.81
5 N 0.5000 0.5000 0.5000  4 Sn 2.56

Results
For the magnetization, the calculation gives 0.00 μB per formula unit.

***

6.
This record from Alexandria via LeMat-Bulk describes Sr8H3N4 after structural relaxation. The functional is PBE-GGA.

Cell: 7.6872 7.6872 7.6061 Å, 119.39 119.39 91.36°
Closest atoms and distances in Å follow each position.
Fractional positions:
1 Sr 0.2188 0.2188 0.4656  2 N 2.52-2.54, 2 H 2.76
2 Sr 0.2344 0.7656 0.0000  3 N 2.58-2.69, 2 H 2.71
3 Sr 0.2368 0.7632 0.5000  3 N 2.60-2.71, 3 H 2.69-2.90
4 Sr 0.2382 0.2382 0.9877  4 N 2.63-2.75, 1 H 2.77
5 Sr 0.7618 0.7618 0.0123  4 N 2.63-2.75, 1 H 2.77
6 Sr 0.7632 0.2368 0.5000  3 N 2.60-2.71, 3 H 2.69-2.90
7 Sr 0.7656 0.2344 0.0000  3 N 2.58-2.69, 2 H 2.71
8 Sr 0.7812 0.7812 0.5344  2 N 2.52-2.54, 2 H 2.76
9 H 0.0000 0.5000 0.5000  6 Sr 2.69-2.76
10 H 0.5000 0.0000 0.5000  6 Sr 2.69-2.76
11 H 0.5000 0.5000 0.5000  6 Sr 2.77-2.90
12 N 0.0000 0.0000 0.0000  6 Sr 2.52-2.63
13 N 0.0000 0.0000 0.5000  6 Sr 2.54-2.64
14 N 0.0000 0.5000 0.0000  6 Sr 2.69-2.75
15 N 0.5000 0.0000 0.0000  6 Sr 2.69-2.75

Results
For the magnetization, the calculation gives 0.98 μB per formula unit.

***

7.
This record from Alexandria via LeMat-Bulk describes SrH4N2 after structural relaxation. The functional is PBE-GGA.

Cell: 6.7903 6.7903 6.7903 Å, 132.06 132.06 70.13°
Closest atoms and distances in Å follow each position.
Fractional positions:
1 Sr 0.3750 0.6250 0.7500  6 N 2.63-2.76, 8 H 2.92
2 Sr 0.6250 0.3750 0.2500  6 N 2.63-2.76, 8 H 2.92
3 H 0.0814 0.1846 0.6032  1 N 1.03
4 H 0.0814 0.4782 0.8968  1 N 1.03
5 H 0.1846 0.0814 0.1032  1 N 1.03
6 H 0.4782 0.0814 0.3968  1 N 1.03
7 H 0.5218 0.9186 0.6032  1 N 1.03
8 H 0.8154 0.9186 0.8968  1 N 1.03
9 H 0.9186 0.5218 0.1032  1 N 1.03
10 H 0.9186 0.8154 0.3968  1 N 1.03
11 N 0.1387 0.3887 0.7500  2 H 1.03
12 N 0.3887 0.1387 0.2500  2 H 1.03
13 N 0.6113 0.8613 0.7500  2 H 1.03
14 N 0.8613 0.6113 0.2500  2 H 1.03

Results
The energy above the lowest structure with this stoichiometry comes out at 0.000 eV per atom. For the magnetization, the calculation gives 0.00 μB per formula unit.

***

8.
This record from Alexandria via LeMat-Bulk describes Sr4H2N after structural relaxation. The functional is PBE-GGA.

Cell: 7.3675 7.3675 7.3675 Å, 137.99 137.99 60.92°
Closest atoms and distances in Å follow each position.
Fractional positions:
1 Sr 0.0000 0.5000 0.5000  2 N 2.64, 4 H 2.90
2 Sr 0.2053 0.2053 0.0000  1 H 2.55, 1 N 2.61
3 Sr 0.5000 0.0000 0.5000  2 N 2.64, 4 H 2.90
4 Sr 0.7947 0.7947 0.0000  1 H 2.55, 1 N 2.61
5 H 0.4059 0.4059 0.0000  1 H 2.39, 1 Sr 2.55
6 H 0.5941 0.5941 0.0000  1 H 2.39, 1 Sr 2.55
7 N 0.0000 0.0000 0.0000  6 Sr 2.61-2.64

Results
The energy above the lowest structure with this stoichiometry comes out at 0.038 eV per atom. For the magnetization, the calculation gives 0.00 μB per formula unit.

***

| no. | calculated total energy (hartree per atom) |
| --- | --- |
| 1 | -0.1372 |
| 2 | -0.2713 |
| 3 | -0.2578 |
| 4 | -0.1742 |
| 5 | -0.1769 |
| 6 | -0.1584 |
| 7 | -0.1887 |
| 8 | -0.1258 |